CeThTcPt | PBE | optimized geometry Values from VASP.

As for the energy: -31.69 eV per cell. The value obtained for the formation energy is -482 meV per atom. The calculation puts the density of states at the Fermi level at 4.34 states/eV per cell.

```
&SYSTEM
  ibrav = 0, nat = 4, ntyp = 4
/
ATOMIC_SPECIES
Ce 140.12 Ce.upf
Pt 195.08 Pt.upf
Th 232.04 Th.upf
Tc 98.00 Tc.upf
CELL_PARAMETERS angstrom
-4.053 -2.665 1.299
-1.576 -3.762 -2.930
0.507 -4.756 1.530
ATOMIC_POSITIONS angstrom
Ce -2.561 -5.591 -0.050
Pt -3.842 -8.387 -0.076
Th 0.000 0.000 0.000
Tc -1.281 -2.796 -0.025
```

---

ErSc8 | PBE | optimized geometry Values from VASP.

As for the energy: -54.76 eV per cell. The value obtained for the formation energy is 50 meV per atom. The calculation puts the density of states at the Fermi level at 15.74 states/eV per cell.

```
&SYSTEM
  ibrav = 0, nat = 9, ntyp = 2
/
ATOMIC_SPECIES
Er 167.26 Er.upf
Sc 44.96 Sc.upf
CELL_PARAMETERS angstrom
-4.593 0.137 -0.684
-2.049 -6.255 -3.268
-3.313 -2.861 5.903
ATOMIC_POSITIONS angstrom
Er 0.000 0.000 0.000
Sc -2.641 -0.923 1.771
Sc -5.266 -1.802 3.449
Sc -4.430 -4.048 -2.620
Sc -2.474 -5.116 -0.191
Sc -5.105 -6.011 1.521
Sc -4.851 -2.968 0.430
Sc -2.889 -4.000 2.825
Sc -2.213 -2.071 -1.332
```

---

LiPm2Sc | PBE | optimized geometry Values from VASP.

As for the energy: -17.37 eV per cell. For the polymorph energy (0 for the lowest one), the calculation gives 12 meV per atom. The value obtained for the formation energy is 93 meV per atom. The calculation puts the density of states at the Fermi level at 3.45 states/eV per cell.

```
&SYSTEM
  ibrav = 0, nat = 4, ntyp = 3
/
ATOMIC_SPECIES
Li 6.94 Li.upf
Pm 145.00 Pm.upf
Sc 44.96 Sc.upf
CELL_PARAMETERS angstrom
3.472 0.001 0.001
1.737 3.006 0.001
1.741 1.005 11.141
ATOMIC_POSITIONS angstrom
Li 3.474 2.006 5.580
Pm 1.742 1.006 8.408
Pm 1.736 1.002 2.730
Sc 5.213 3.010 11.138
```

---

K4U3PtS8 | PBE | optimized geometry Values from VASP.

As for the energy: -96.43 eV per cell. The value obtained for the uncorrected formation energy is -1.195 eV/atom. The calculation puts the density of states at the Fermi level at 13.20 states/eV per cell.

```
&SYSTEM
  ibrav = 0, nat = 16, ntyp = 4
/
ATOMIC_SPECIES
K 39.10 K.upf
U 238.03 U.upf
Pt 195.08 Pt.upf
S 32.06 S.upf
CELL_PARAMETERS angstrom
-5.620 -1.781 4.893
5.837 -3.673 5.367
1.132 7.839 -1.844
ATOMIC_POSITIONS angstrom
K -2.810 -0.891 2.446
K -2.244 3.029 1.524
K 0.000 0.000 0.000
K 0.566 3.920 -0.922
U 0.108 -2.727 5.130
U 0.674 1.193 4.208
U 3.484 2.083 1.762
Pt 2.918 -1.836 2.684
S 3.911 4.624 2.899
S 3.358 1.063 4.244
S 0.811 2.710 1.918
S 0.841 3.651 5.572
S 0.508 -1.266 2.844
S 0.538 -0.325 6.498
S -2.009 1.322 4.172
S -2.563 -2.239 5.517
```

---

La3YMn | PBE | optimized geometry Values from VASP.

As for the energy: -29.31 eV per cell. For the polymorph energy (0 for the lowest one), the calculation gives 0 meV per atom. The value obtained for the formation energy is 220 meV per atom. The calculation puts the density of states at the Fermi level at 6.62 states/eV per cell.

```
&SYSTEM
  ibrav = 0, nat = 5, ntyp = 3
/
ATOMIC_SPECIES
Y 88.91 Y.upf
Mn 54.94 Mn.upf
La 138.91 La.upf
CELL_PARAMETERS angstrom
5.415 0.000 0.000
0.000 5.415 0.000
0.000 0.000 5.415
ATOMIC_POSITIONS angstrom
Y 2.707 2.707 2.707
Mn 0.000 0.000 0.000
La 0.000 2.707 0.000
La 0.000 0.000 2.707
La 2.707 0.000 0.000
```

---

Ba2Ga3Ge4 | PBE | optimized geometry Values from VASP.

As for the energy: -68.26 eV per cell. The value obtained for the formation energy is -304 meV per atom. The calculation puts the density of states at the Fermi level at 6.45 states/eV per cell.

```
&SYSTEM
  ibrav = 0, nat = 18, ntyp = 3
/
ATOMIC_SPECIES
Ba 137.33 Ba.upf
Ga 69.72 Ga.upf
Ge 72.64 Ge.upf
CELL_PARAMETERS angstrom
-4.893 3.309 -2.095
-3.626 -7.076 -2.707
-1.229 -2.528 8.253
ATOMIC_POSITIONS angstrom
Ba -2.958 -4.365 0.016
Ba -6.789 -1.930 3.435
Ba -3.177 -1.309 5.353
Ba -6.571 -4.985 -1.902
Ga 0.000 0.000 0.000
Ga -4.259 -1.883 -2.401
Ga -6.008 -4.970 1.496
Ga -6.186 0.330 0.908
Ga -3.739 -1.324 1.955
Ga -3.562 -6.625 2.544
Ge -7.181 -5.249 3.795
Ge -5.014 0.609 -1.391
Ge -2.567 -1.046 -0.343
Ge -4.734 -6.903 4.842
Ge -4.871 -7.127 0.120
Ge -4.877 0.832 3.331
Ge -3.958 -3.803 3.238
Ge -5.790 -2.492 0.213
```

---

KAlPSe2 | PBE | optimized geometry Values from VASP.

As for the energy: -15.67 eV per cell. The value obtained for the uncorrected formation energy is 0.311 eV/atom. For the polymorph energy (0 for the lowest one), the calculation gives 0 meV per atom. The calculation puts the density of states at the Fermi level at 3.75 states/eV per cell.

```
&SYSTEM
  ibrav = 0, nat = 5, ntyp = 4
/
ATOMIC_SPECIES
P 30.97 P.upf
K 39.10 K.upf
Al 26.98 Al.upf
Se 78.96 Se.upf
CELL_PARAMETERS angstrom
4.801 0.000 0.000
0.000 8.225 0.000
0.000 0.000 4.801
ATOMIC_POSITIONS angstrom
P 2.400 4.112 2.400
K 0.000 4.112 0.000
Al 0.000 0.000 0.000
Se 0.000 0.000 2.400
Se 2.400 0.000 0.000
```

---

BeIn2Ru | PBE | optimized geometry Values from VASP.

As for the energy: -16.49 eV per cell. The value obtained for the formation energy is 498 meV per atom. The calculation puts the density of states at the Fermi level at 2.49 states/eV per cell.

```
&SYSTEM
  ibrav = 0, nat = 4, ntyp = 3
/
ATOMIC_SPECIES
Ru 101.07 Ru.upf
Be 9.01 Be.upf
In 114.82 In.upf
CELL_PARAMETERS angstrom
4.560 0.000 0.000
2.280 3.949 0.000
2.280 1.316 3.723
ATOMIC_POSITIONS angstrom
Ru 6.840 3.949 2.792
Be 4.560 2.633 1.862
In 0.000 0.000 0.000
In 2.280 1.316 0.931
```

---

DyScAg2Se4 | PBE | optimized geometry Values from VASP.

As for the energy: -39.33 eV per cell. The value obtained for the uncorrected formation energy is -1.095 eV/atom.

```
&SYSTEM
  ibrav = 0, nat = 8, ntyp = 4
/
ATOMIC_SPECIES
Dy 162.50 Dy.upf
Sc 44.96 Sc.upf
Ag 107.87 Ag.upf
Se 78.96 Se.upf
CELL_PARAMETERS angstrom
-1.335 -2.503 -2.919
-2.442 -4.394 4.885
-6.654 1.555 1.710
ATOMIC_POSITIONS angstrom
Dy -8.542 -1.894 2.693
Sc -4.548 -1.420 3.297
Ag -6.654 1.555 1.710
Ag -3.994 -0.474 -0.605
Se -6.705 -2.102 4.869
Se -3.725 -3.241 -1.194
Se -4.188 -4.083 2.579
Se -6.242 -1.260 1.097
```

---

Nd2DyScP4 | PBE | optimized geometry Values from VASP.

As for the energy: -54.19 eV per cell. The value obtained for the formation energy is -1510 meV per atom. The calculation puts the density of states at the Fermi level at 0.70 states/eV per cell.

```
&SYSTEM
  ibrav = 0, nat = 8, ntyp = 4
/
ATOMIC_SPECIES
Nd 144.24 Nd.upf
Dy 162.50 Dy.upf
Sc 44.96 Sc.upf
P 30.97 P.upf
CELL_PARAMETERS angstrom
-1.807 -2.195 -2.866
-4.409 -2.584 4.757
-2.689 5.810 -2.754
ATOMIC_POSITIONS angstrom
Nd -2.248 1.807 -2.810
Nd -3.549 1.613 1.002
Dy -3.108 -2.389 0.945
Sc 0.000 0.000 0.000
P -2.569 -0.370 -0.940
P -6.336 1.401 0.077
P -3.152 3.800 -0.924
P -3.947 -0.574 2.927
```

---

SrCuHg3 | PBE | optimized geometry Values from VASP.

As for the energy: -7.57 eV per cell. For the polymorph energy (0 for the lowest one), the calculation gives 0 meV per atom. The value obtained for the formation energy is -178 meV per atom. The calculation puts the density of states at the Fermi level at 2.12 states/eV per cell.

```
&SYSTEM
  ibrav = 0, nat = 5, ntyp = 3
/
ATOMIC_SPECIES
Sr 87.62 Sr.upf
Hg 200.59 Hg.upf
Cu 63.55 Cu.upf
CELL_PARAMETERS angstrom
5.135 0.000 0.000
0.000 5.135 0.000
0.000 0.000 5.135
ATOMIC_POSITIONS angstrom
Sr 2.567 2.567 2.567
Hg 0.000 2.567 0.000
Hg 0.000 0.000 2.567
Hg 2.567 0.000 0.000
Cu 0.000 0.000 0.000
```

---

IrRh2 | PBE | optimized geometry Values from VASP.

As for the energy: -23.60 eV per cell. For the polymorph energy (0 for the lowest one), the calculation gives 0 meV per atom. The value obtained for the formation energy is -14 meV per atom. The calculation puts the density of states at the Fermi level at 3.13 states/eV per cell.

```
&SYSTEM
  ibrav = 0, nat = 3, ntyp = 2
/
ATOMIC_SPECIES
Ir 192.22 Ir.upf
Rh 102.91 Rh.upf
CELL_PARAMETERS angstrom
-4.164 2.207 -0.056
-3.712 -2.034 -2.073
3.321 -0.353 3.326
ATOMIC_POSITIONS angstrom
Ir 0.000 0.000 0.000
Rh -5.235 0.115 -1.415
Rh -2.641 0.058 -0.714
```